First-principles (GGA+U) data for a relaxed structure of CsNdMo2O8, as listed in Alexandria.

The structure in extended XYZ format:
```
24
Lattice="5.525 -5.400 0.000 5.525 5.400 0.000 -5.240 0.000 6.045" Properties=species:S:1:pos:R:3 pbc="T T T"
Cs 1.596 3.332 4.534
Cs 4.215 -3.332 1.511
Nd 4.215 2.934 1.511
Nd 1.596 -2.934 4.534
Mo 2.028 0.005 1.621
Mo -0.592 -0.005 4.644
Mo 6.403 0.005 1.401
Mo 3.783 -0.005 4.424
O -2.166 0.812 4.271
O 1.856 1.664 0.794
O 0.454 -0.812 1.249
O 0.483 0.785 3.481
O 5.109 1.141 0.185
O -0.763 -1.664 3.816
O 3.103 -0.785 0.459
O 3.322 1.141 2.838
O 2.489 -1.141 3.207
O 2.709 0.785 5.586
O 6.575 1.664 2.229
O 0.702 -1.141 5.860
O 5.328 -0.785 2.564
O 5.357 0.812 4.797
O 3.955 -1.664 5.251
O 7.977 -0.812 1.774
```

Calculated values
Its final energy is -7.0816 eV per atom.